1.
! SrCuIN2, relaxed, DFT PBE; values from VASP
&SYSTEM
  ibrav = 0, nat = 5, ntyp = 4
/
ATOMIC_SPECIES
Sr 87.62 Sr.upf
Cu 63.55 Cu.upf
I 126.90 I.upf
N 14.01 N.upf
ATOMIC_POSITIONS crystal
Sr 0.000 0.000 0.000
Cu 0.500 0.500 0.500
I 0.000 0.000 0.500
N 0.000 0.500 0.000
N 0.500 0.000 0.000
CELL_PARAMETERS angstrom
4.835 0.000 0.000
0.000 4.835 0.000
0.000 0.000 6.754
! Energy above the lowest structure with this stoichiometry ... 0.536 eV/atom
! Energy relative to the elements, uncorrected ... 1.417 eV per atom

=====

2.
! SrCuI2N, relaxed, DFT PBE; values from VASP
&SYSTEM
  ibrav = 0, nat = 5, ntyp = 4
/
ATOMIC_SPECIES
Sr 87.62 Sr.upf
Cu 63.55 Cu.upf
I 126.90 I.upf
N 14.01 N.upf
ATOMIC_POSITIONS crystal
Sr 0.000 0.000 0.000
Cu 0.500 0.500 0.500
I 0.000 0.500 0.500
I 0.500 0.000 0.500
N 0.500 0.500 0.000
CELL_PARAMETERS angstrom
5.846 0.000 0.000
0.000 5.846 0.000
0.000 0.000 3.848
! Energy above the lowest structure with this stoichiometry ... 0.000 eV/atom
! Energy relative to the elements, uncorrected ... -0.095 eV per atom

=====

3.
! SrCuIN2, relaxed, DFT PBE; values from VASP
&SYSTEM
  ibrav = 0, nat = 5, ntyp = 4
/
ATOMIC_SPECIES
Sr 87.62 Sr.upf
Cu 63.55 Cu.upf
I 126.90 I.upf
N 14.01 N.upf
ATOMIC_POSITIONS crystal
Sr 0.000 0.000 0.000
Cu 0.500 0.500 0.500
I 0.500 0.500 0.000
N 0.000 0.500 0.500
N 0.500 0.000 0.500
CELL_PARAMETERS angstrom
4.344 0.000 0.000
0.000 4.344 0.000
0.000 0.000 5.185
! Energy above the lowest structure with this stoichiometry ... 0.000 eV/atom
! Energy relative to the elements, uncorrected ... 0.881 eV per atom

=====

4.
! SrCuI2N, relaxed, DFT PBE; values from VASP
&SYSTEM
  ibrav = 0, nat = 5, ntyp = 4
/
ATOMIC_SPECIES
Sr 87.62 Sr.upf
Cu 63.55 Cu.upf
I 126.90 I.upf
N 14.01 N.upf
ATOMIC_POSITIONS crystal
Sr 0.000 0.000 0.000
Cu 0.500 0.500 0.500
I 0.000 0.500 0.000
I 0.500 0.000 0.000
N 0.000 0.000 0.500
CELL_PARAMETERS angstrom
6.401 0.000 0.000
0.000 6.401 0.000
0.000 0.000 4.978
! Energy above the lowest structure with this stoichiometry ... 0.615 eV/atom
! Energy relative to the elements, uncorrected ... 0.520 eV per atom

=====

5.
! TaCuIN2, relaxed, DFT PBE; values from VASP
&SYSTEM
  ibrav = 0, nat = 5, ntyp = 4
/
ATOMIC_SPECIES
Ta 180.95 Ta.upf
Cu 63.55 Cu.upf
I 126.90 I.upf
N 14.01 N.upf
ATOMIC_POSITIONS crystal
Ta 0.000 0.000 0.000
Cu 0.500 0.500 0.500
I 0.500 0.500 0.000
N 0.000 0.500 0.500
N 0.500 0.000 0.500
CELL_PARAMETERS angstrom
3.948 0.000 0.000
0.000 3.948 0.000
0.000 0.000 4.921
! Energy above the lowest structure with this stoichiometry ... 1.562 eV/atom
! Energy relative to the elements, uncorrected ... 1.974 eV per atom

=====

6.
! TaCuIN2, relaxed, DFT PBE; values from VASP
&SYSTEM
  ibrav = 0, nat = 5, ntyp = 4
/
ATOMIC_SPECIES
Ta 180.95 Ta.upf
Cu 63.55 Cu.upf
I 126.90 I.upf
N 14.01 N.upf
ATOMIC_POSITIONS crystal
Ta 0.000 0.000 0.000
Cu 0.500 0.500 0.500
I 0.000 0.000 0.500
N 0.000 0.500 0.000
N 0.500 0.000 0.000
CELL_PARAMETERS angstrom
3.987 0.000 0.000
0.000 3.987 0.000
0.000 0.000 5.988
! Energy above the lowest structure with this stoichiometry ... 0.000 eV/atom
! Energy relative to the elements, uncorrected ... 0.412 eV per atom

=====

7.
! Cu2TcIN, relaxed, DFT PBE; values from VASP
&SYSTEM
  ibrav = 0, nat = 5, ntyp = 4
/
ATOMIC_SPECIES
Cu 63.55 Cu.upf
Tc 98.00 Tc.upf
I 126.90 I.upf
N 14.01 N.upf
ATOMIC_POSITIONS crystal
Cu 0.000 0.500 0.000
Cu 0.500 0.000 0.000
Tc 0.000 0.000 0.000
I 0.000 0.000 0.500
N 0.500 0.500 0.500
CELL_PARAMETERS angstrom
4.760 0.000 0.000
0.000 4.760 0.000
0.000 0.000 4.937
! Energy relative to the elements, uncorrected ... 2.173 eV per atom

=====

8.
! CuTcIN2, relaxed, DFT PBE; values from VASP
&SYSTEM
  ibrav = 0, nat = 5, ntyp = 4
/
ATOMIC_SPECIES
Cu 63.55 Cu.upf
Tc 98.00 Tc.upf
I 126.90 I.upf
N 14.01 N.upf
ATOMIC_POSITIONS crystal
Cu 0.000 0.000 0.000
Tc 0.500 0.500 0.500
I 0.000 0.000 0.500
N 0.000 0.500 0.000
N 0.500 0.000 0.000
CELL_PARAMETERS angstrom
3.901 0.000 0.000
0.000 3.901 0.000
0.000 0.000 5.639
! Energy above the lowest structure with this stoichiometry ... 1.287 eV/atom
! Energy relative to the elements, uncorrected ... 2.008 eV per atom

=====

9.
! CuTcIN2, relaxed, DFT PBE; values from VASP
&SYSTEM
  ibrav = 0, nat = 5, ntyp = 4
/
ATOMIC_SPECIES
Cu 63.55 Cu.upf
Tc 98.00 Tc.upf
I 126.90 I.upf
N 14.01 N.upf
ATOMIC_POSITIONS crystal
Cu 0.000 0.000 0.000
Tc 0.500 0.500 0.500
I 0.500 0.500 0.000
N 0.000 0.500 0.500
N 0.500 0.000 0.500
CELL_PARAMETERS angstrom
3.836 0.000 0.000
0.000 3.836 0.000
0.000 0.000 5.917
! Energy above the lowest structure with this stoichiometry ... 0.000 eV/atom
! Energy relative to the elements, uncorrected ... 0.721 eV per atom

=====

10.
! CuTe2IN, relaxed, DFT PBE; values from VASP
&SYSTEM
  ibrav = 0, nat = 5, ntyp = 4
/
ATOMIC_SPECIES
Cu 63.55 Cu.upf
Te 127.60 Te.upf
I 126.90 I.upf
N 14.01 N.upf
ATOMIC_POSITIONS crystal
Cu 0.000 0.000 0.000
Te 0.000 0.500 0.000
Te 0.500 0.000 0.000
I 0.500 0.500 0.500
N 0.000 0.000 0.500
CELL_PARAMETERS angstrom
5.716 0.000 0.000
0.000 5.716 0.000
0.000 0.000 3.599
! Energy above the lowest structure with this stoichiometry ... 0.000 eV/atom
! Energy relative to the elements, uncorrected ... 0.845 eV per atom

=====

11.
! CuTe2IN, relaxed, DFT PBE; values from VASP
&SYSTEM
  ibrav = 0, nat = 5, ntyp = 4
/
ATOMIC_SPECIES
Cu 63.55 Cu.upf
Te 127.60 Te.upf
I 126.90 I.upf
N 14.01 N.upf
ATOMIC_POSITIONS crystal
Cu 0.000 0.000 0.000
Te 0.000 0.500 0.500
Te 0.500 0.000 0.500
I 0.500 0.500 0.500
N 0.500 0.500 0.000
CELL_PARAMETERS angstrom
5.992 0.000 0.000
0.000 5.992 0.000
0.000 0.000 3.876
! Energy above the lowest structure with this stoichiometry ... 0.615 eV/atom
! Energy relative to the elements, uncorrected ... 1.460 eV per atom

=====

12.
! CuTeI2N, relaxed, DFT PBE; values from VASP
&SYSTEM
  ibrav = 0, nat = 5, ntyp = 4
/
ATOMIC_SPECIES
Cu 63.55 Cu.upf
Te 127.60 Te.upf
I 126.90 I.upf
N 14.01 N.upf
ATOMIC_POSITIONS crystal
Cu 0.000 0.000 0.000
Te 0.500 0.500 0.500
I 0.000 0.500 0.500
I 0.500 0.000 0.500
N 0.500 0.500 0.000
CELL_PARAMETERS angstrom
6.167 0.000 0.000
0.000 6.167 0.000
0.000 0.000 3.988
! Energy above the lowest structure with this stoichiometry ... 0.144 eV/atom
! Energy relative to the elements, uncorrected ... 0.956 eV per atom